No. 1
Computed, not measured: a relaxed structure of Ca2La8Pr3 at the GGA-PBE level of DFT. Values from VASP.

The structure in Quantum ESPRESSO input format:
```
&SYSTEM
  ibrav = 0, nat = 13, ntyp = 3
/
ATOMIC_SPECIES
La 138.91 La.upf
Pr 140.91 Pr.upf
Ca 40.08 Ca.upf
ATOMIC_POSITIONS angstrom
La -5.711 2.490 3.299
La -1.501 3.621 11.193
La -2.277 2.846 7.766
La -3.677 5.501 4.598
Pr -2.958 1.016 0.756
La -4.934 3.265 6.727
Ca -2.323 1.890 4.396
La -2.045 6.126 8.310
Pr 0.118 4.872 5.676
Pr -1.412 -0.794 7.304
Ca -4.888 4.221 10.097
La -3.535 0.610 9.895
La -5.167 -0.016 6.183
CELL_PARAMETERS angstrom
-5.917 2.032 1.513
-2.168 -3.591 8.108
0.873 7.670 4.873
```

DFT formation energy in eV per atom: 0.16
SG: C2/m
VASP energy in eV/atom: -4.286
Spin magnetization in μB/cell: 0.00

No. 2
Computed, not measured: a relaxed structure of Ca3La12Pr at the GGA-PBE level of DFT. Values from VASP.

The structure in Quantum ESPRESSO input format:
```
&SYSTEM
  ibrav = 0, nat = 16, ntyp = 3
/
ATOMIC_SPECIES
La 138.91 La.upf
Ca 40.08 Ca.upf
Pr 140.91 Pr.upf
ATOMIC_POSITIONS angstrom
La 2.658 2.658 5.319
La 2.658 0.000 13.270
Ca 0.000 0.000 15.931
La 0.000 2.658 13.270
Ca 0.000 0.000 10.610
La 2.658 0.000 2.579
La 2.658 2.658 10.610
La 2.658 2.658 0.000
La 0.000 2.658 18.641
La 2.658 0.000 7.950
La 2.658 2.658 15.900
Pr 0.000 0.000 0.000
Ca 0.000 0.000 5.289
La 0.000 2.658 7.950
La 0.000 2.658 2.579
La 2.658 0.000 18.641
CELL_PARAMETERS angstrom
5.316 0.000 0.000
0.000 5.316 0.000
0.000 0.000 21.220
```

DFT formation energy in eV per atom: 0.05
SG: P4/mmm
VASP energy in eV/atom: -4.322
Spin magnetization in μB/cell: 0.00

No. 3
Computed, not measured: a relaxed structure of Ca2La4Pr at the GGA-PBE level of DFT. Values from VASP.

The structure in Quantum ESPRESSO input format:
```
&SYSTEM
  ibrav = 0, nat = 7, ntyp = 3
/
ATOMIC_SPECIES
La 138.91 La.upf
Pr 140.91 Pr.upf
Ca 40.08 Ca.upf
ATOMIC_POSITIONS angstrom
La -1.033 4.348 5.784
Pr 0.000 0.000 0.000
Ca -1.214 6.380 2.078
La -0.555 2.914 0.949
La -2.024 -0.997 1.879
La 2.062 -0.282 2.072
Ca -0.373 0.883 4.655
CELL_PARAMETERS angstrom
-4.049 -1.995 3.759
4.125 -0.565 4.143
-1.663 9.822 -1.168
```

DFT formation energy in eV per atom: 0.50
SG: I4/mmm
Distance to the lowest polymorph of the same formula in eV/f.u.: 3.10
VASP energy in eV/atom: -3.566
Spin magnetization in μB/cell: 1.23

No. 4
Computed, not measured: a relaxed structure of CaLa6Pr8 at the GGA-PBE level of DFT. Values from VASP.

The structure in Quantum ESPRESSO input format:
```
&SYSTEM
  ibrav = 0, nat = 15, ntyp = 3
/
ATOMIC_SPECIES
La 138.91 La.upf
Pr 140.91 Pr.upf
Ca 40.08 Ca.upf
ATOMIC_POSITIONS angstrom
La 4.996 2.493 9.986
Pr 7.394 5.521 11.248
Pr 7.607 2.697 4.202
Pr 7.595 0.619 8.537
Ca 0.000 0.000 0.000
La 1.914 3.065 7.103
La 4.431 6.183 8.547
Pr 2.825 0.041 8.650
Pr 2.177 1.626 3.312
Pr 1.976 6.528 6.024
La 7.657 4.082 7.457
La 4.575 4.654 4.574
Pr 6.746 7.106 5.910
Pr 1.964 4.450 10.358
La 5.140 0.964 6.013
CELL_PARAMETERS angstrom
8.010 -0.311 3.007
1.977 7.769 3.007
-0.416 -0.311 8.546
```

DFT formation energy in eV per atom: 0.12
SG: R-3
VASP energy in eV/atom: -4.534
Spin magnetization in μB/cell: 0.00

No. 5
Computed, not measured: a relaxed structure of Ca2LaPr at the GGA-PBE level of DFT. Values from VASP.

The structure in Quantum ESPRESSO input format:
```
&SYSTEM
  ibrav = 0, nat = 4, ntyp = 3
/
ATOMIC_SPECIES
Pr 140.91 Pr.upf
La 138.91 La.upf
Ca 40.08 Ca.upf
ATOMIC_POSITIONS angstrom
Pr -1.923 2.053 0.438
La -1.808 1.387 4.059
Ca 1.414 0.899 1.994
Ca -1.299 -1.565 1.627
CELL_PARAMETERS angstrom
-3.847 4.106 0.877
-2.598 -3.129 3.254
2.828 1.798 3.987
```

DFT formation energy in eV per atom: 0.11
SG: P4/mmm
Distance to the lowest polymorph of the same formula in eV/f.u.: 0.34
VASP energy in eV/atom: -3.322
Spin magnetization in μB/cell: 0.00

No. 6
Computed, not measured: a relaxed structure of Ca2La12Pr7 at the GGA-PBE level of DFT. Values from VASP.

The structure in Quantum ESPRESSO input format:
```
&SYSTEM
  ibrav = 0, nat = 21, ntyp = 3
/
ATOMIC_SPECIES
La 138.91 La.upf
Ca 40.08 Ca.upf
Pr 140.91 Pr.upf
ATOMIC_POSITIONS angstrom
La 1.859 7.726 7.013
La 1.859 5.556 1.200
La 1.859 3.574 10.985
La 0.000 10.682 5.481
Ca 1.859 0.000 0.000
Pr 1.859 12.170 -1.109
La 0.000 1.120 8.611
Pr 0.000 4.503 7.800
La 0.000 3.423 -1.290
La 1.859 2.210 5.403
Pr 1.859 6.465 -2.185
Pr 0.000 10.328 8.939
La 1.859 11.772 2.389
La 0.000 12.916 -4.191
La 1.859 9.693 -3.589
Pr 0.000 2.577 2.186
Ca 0.000 9.007 0.000
La 0.000 6.898 10.325
Pr 1.859 8.386 3.294
Pr 0.000 0.605 12.275
La 0.000 5.493 4.465
CELL_PARAMETERS angstrom
3.718 0.000 0.000
0.000 13.510 -7.800
0.000 0.000 15.601
```

DFT formation energy in eV per atom: 0.03
SG: P-6
VASP energy in eV/atom: -4.571
Spin magnetization in μB/cell: 0.00

- Among the records above, which one has the highest VASP energy?
  Ca2LaPr